[1]
Compound: Y3TaSi
Source: Alexandria
Functional: GGA-PBE
Structure: relaxed

```
Y3TaSi
1.0
5.375 0.000 0.000
0.000 5.375 0.000
0.000 0.000 5.375
Y Ta Si
3 1 1
Direct
0.000 0.000 0.500
0.000 0.500 0.000
0.500 0.000 0.000
0.000 0.000 0.000
0.500 0.500 0.500
```

calculated volume	155	Å³/cell
E above lowest polymorph	269	meV/atom
uncorrected formation energy	406	kJ/mol of formula units
SG	Pm-3m, No. 221

***

[2]
Compound: ThSnPt
Source: Alexandria
Functional: GGA-PBE
Structure: relaxed

```
ThSnPt
1.0
0.000 3.407 3.407
3.407 0.000 3.407
3.407 3.407 0.000
Th Sn Pt
1 1 1
Direct
0.000 0.000 0.000
0.500 0.500 0.500
0.750 0.750 0.750
```

ΔH_f (0 K)	-1080	meV per atom
calculated volume	79	Å³/cell
SG	F-43m, No. 216

***

[3]
Compound: Sc2BiPd
Source: Alexandria
Functional: GGA-PBE
Structure: relaxed

```
Sc2BiPd
1.0
4.654 0.000 0.000
0.000 4.654 0.000
0.000 0.000 3.952
Sc Bi Pd
2 1 1
Direct
0.000 0.500 0.000
0.500 0.000 0.000
0.000 0.000 0.500
0.500 0.500 0.500
```

ΔH_f (0 K)	-607	meV per atom
calculated volume	86	Å³/cell
SG	P4/mmm, No. 123

***

[4]
Compound: La4RhSeS2
Source: Alexandria
Functional: GGA-PBE
Structure: relaxed

```
La4RhSeS2
1.0
7.334 0.000 0.000
0.000 4.171 0.000
-2.424 0.000 6.993
La Rh Se S
4 1 1 2
Direct
0.242 0.000 0.241
0.254 0.500 0.761
0.746 0.500 0.239
0.758 0.000 0.759
0.500 0.000 0.000
0.500 0.500 0.500
0.000 0.000 0.500
0.000 0.500 0.000
```

calculated volume	214	Å³/cell
uncorrected formation energy	-1324	kJ/mol of formula units
SG	P2/m, No. 10